A plane-wave DFT calculation with PBE-GGA was carried out for a geometry-optimized CrRhSe2 structure.

The uncorrected formation energy comes out at -0.2408 eV/atom. For the energy above the lowest structure with this stoichiometry, the calculation gives 8.0 kJ per mole of atoms.

It has space group Amm2 (No. 38), with a = 4.7395 Å, b = 4.9709 Å, c = 6.3092 Å, α = 90.00°, β = 90.00° and γ = 90.00°. Symmetry generates all atoms from Cr at (0.0000, 0.0000, 0.0000), Rh at (0.5000, 0.0000, 0.2477), Se at (0.0000, 0.0000, 0.3988) and Se at (0.5000, 0.0000, 0.8513).

=====

A plane-wave DFT calculation with PBE-GGA was carried out for a geometry-optimized K3YEr2O6 structure.

The uncorrected formation energy comes out at -2.7806 eV/atom.

It has space group C2/m (No. 12), with a = 5.9926 Å, b = 10.3796 Å, c = 6.5657 Å, α = 90.00°, β = 107.71° and γ = 90.00°. Symmetry generates all atoms from K at (0.0000, 0.0000, 0.0000), K at (0.0000, 0.3330, 0.0000), Y at (0.0000, 0.5000, 0.5000), Er at (0.0000, 0.1667, 0.5000), O at (0.2250, 0.0000, 0.6847) and O at (0.2298, 0.3317, 0.6846).

=====

A plane-wave DFT calculation with PBE-GGA was carried out for a geometry-optimized Ce4SmN4 structure.

The uncorrected formation energy comes out at -1.2965 eV/atom.

It has space group I4/m (No. 87), with a = 7.9610 Å, b = 7.9610 Å, c = 5.0622 Å, α = 90.00°, β = 90.00° and γ = 90.00°. Symmetry generates all atoms from Ce at (0.1048, 0.3074, 0.0000), Sm at (0.0000, 0.0000, 0.5000) and N at (0.0969, 0.3051, 0.5000).